Computed, not measured: crystalline Pr2Ta2O7F2 at its relaxed geometry at the PBE level of DFT.

Unit cell a=7.8864 b=7.8864 c=6.6811 alpha=114.45 beta=114.45 gamma=28.59
With the nearest neighbours (Å) after each atom.
Fractional positions:
F 0.7088 0.7088 0.0764  3 Pr 2.46-2.48, 2 F 2.74
F 0.2912 0.2912 0.9236  3 Pr 2.46-2.48, 2 F 2.74
O 0.0000 0.0000 0.0000  2 Ta 1.89
O 0.9136 0.9136 0.3303  2 Ta 1.97-2.20
O 0.5472 0.5472 0.3463  2 Ta 1.96
O 0.1790 0.1790 0.4321  1 Ta 1.95
O 0.8210 0.8210 0.5679  1 Ta 1.95
O 0.4528 0.4528 0.6537  2 Ta 1.96
O 0.0864 0.0864 0.6697  2 Ta 1.97-2.20
Pr 0.2983 0.2983 0.2980  6 O 2.35-2.57, 3 F 2.46-2.48
Pr 0.7017 0.7017 0.7020  6 O 2.35-2.57, 3 F 2.46-2.48
Ta 0.0384 0.0384 0.3095  5 O 1.89-1.97
Ta 0.9616 0.9616 0.6905  5 O 1.89-1.97

Properties
The crystal system is monoclinic. As for the space group: C2/m. The density comes out at 7.331 g cm⁻³. As for the total moment: 0.0 μB per cell. As for the calculated total energy: -8.8377 eV/atom.


Computed, not measured: crystalline Pt2OF2 at its relaxed geometry at the PBE level of DFT.

Unit cell a=4.3747 b=5.4237 c=5.4237 alpha=78.13 beta=104.15 gamma=104.15
With the nearest neighbours (Å) after each atom.
Fractional positions:
F 0.7647 0.5650 0.1357  1 Pt 1.97
F 0.2353 0.8643 0.4350  1 Pt 1.97
F 0.7647 0.1357 0.5650  1 Pt 1.97
F 0.2353 0.4350 0.8643  1 Pt 1.97
O 0.2517 0.3632 0.3632  3 Pt 2.03-2.08
O 0.7483 0.6368 0.6368  3 Pt 2.03-2.08
Pt 0.9221 0.1313 0.1313  1 O 2.03
Pt 0.5000 0.7360 0.2640  2 F 1.97, 2 O 2.08
Pt 0.5000 0.2640 0.7360  2 F 1.97, 2 O 2.08
Pt 0.0779 0.8687 0.8687  1 O 2.03

Properties
The crystal system is monoclinic. As for the energy above the most stable polymorph in this dataset: 12.86 kJ per mole of atoms. As for the space group: C2/m. The density comes out at 12.341 g cm⁻³. As for the total moment: 0.0 μB per cell. As for the calculated total energy: -4.5730 eV/atom.


Computed, not measured: crystalline PtOF2 at its relaxed geometry at the PBE level of DFT.

Unit cell a=5.0991 b=7.1587 c=4.8236 alpha=90.00 beta=96.00 gamma=90.00
With the nearest neighbours (Å) after each atom.
Fractional positions:
F 0.4731 0.5253 0.1460  2 Pt 2.03-2.06
F 0.2289 0.8660 0.2319  2 Pt 1.98-2.20
F 0.6074 0.2043 0.3114  1 Pt 1.93
F 0.0042 0.5389 0.3317  2 Pt 1.98-2.05
F 0.9958 0.0389 0.6683  2 Pt 1.98-2.05
F 0.3926 0.7043 0.6886  1 Pt 1.93
F 0.7711 0.3660 0.7681  2 Pt 1.98-2.20
F 0.5269 0.0253 0.8540  2 Pt 2.03-2.06
O 0.0726 0.1898 0.1733  3 Pt 1.94-2.17
O 0.6841 0.8566 0.3291  2 Pt 1.92
O 0.3159 0.3566 0.6709  2 Pt 1.92
O 0.9274 0.6898 0.8267  3 Pt 1.94-2.17
Pt 0.8818 0.9317 0.0312  2 O 1.92-2.02, 3 F 1.98-2.05
Pt 0.3119 0.1159 0.4928  2 O 1.92-1.94, 3 F 1.93-2.06
Pt 0.6881 0.6159 0.5072  2 O 1.92-1.94, 3 F 1.93-2.06
Pt 0.1182 0.4317 0.9688  2 O 1.92-2.02, 3 F 1.98-2.05

Properties
The crystal system is monoclinic. As for the energy above the most stable polymorph in this dataset: 11.79 kJ per mole of atoms. As for the space group: P2_1. The density comes out at 9.448 g cm⁻³. As for the total moment: 0.0 μB per cell. As for the calculated total energy: -4.4154 eV/atom.


Computed, not measured: crystalline PtOF2 at its relaxed geometry at the PBE level of DFT.

Unit cell a=9.9821 b=3.6991 c=5.7262 alpha=90.00 beta=107.49 gamma=90.00
With the nearest neighbours (Å) after each atom.
Fractional positions:
F 0.7914 0.5078 0.1504  1 Pt 1.91
F 0.2915 0.0078 0.1504  1 Pt 1.91
F 0.6923 0.0083 0.3487  1 Pt 1.91
F 0.1924 0.5083 0.3488  1 Pt 1.91
F 0.8076 0.5083 0.6512  1 Pt 1.91
F 0.3077 0.0083 0.6513  1 Pt 1.91
F 0.7085 0.0078 0.8496  1 Pt 1.91
F 0.2086 0.5078 0.8496  1 Pt 1.91
O 0.4906 0.5074 0.2444  2 Pt 1.85
O 0.9906 0.0074 0.2444  2 Pt 1.85
O 0.0094 0.0074 0.7556  2 Pt 1.85
O 0.5094 0.5074 0.7556  2 Pt 1.85
Pt 0.9919 0.5076 0.2466  2 O 1.85, 2 F 1.91
Pt 0.4918 0.0076 0.2466  2 O 1.85, 2 F 1.91
Pt 0.5082 0.0076 0.7534  2 O 1.85, 2 F 1.91
Pt 0.0081 0.5076 0.7534  2 O 1.85, 2 F 1.91

Properties
The crystal system is monoclinic. As for the energy above the most stable polymorph in this dataset: 20.13 kJ per mole of atoms. As for the space group: C2/m. The density comes out at 8.204 g cm⁻³. As for the total moment: 0.0 μB per cell. As for the calculated total energy: -4.3289 eV/atom.


Computed, not measured: crystalline Pt2O3F2 at its relaxed geometry at the PBE level of DFT.

Unit cell a=4.7130 b=5.3232 c=6.8608 alpha=73.72 beta=70.41 gamma=88.39
With the nearest neighbours (Å) after each atom.
Fractional positions:
F 0.6845 0.9190 0.3172  2 Pt 2.04
F 0.0757 0.7478 0.4970  2 Pt 2.05-2.07
F 0.9243 0.2522 0.5030  2 Pt 2.05-2.07
F 0.3155 0.0810 0.6828  2 Pt 2.04
O 0.0875 0.6516 0.1008  3 Pt 2.00-2.02
O 0.3127 0.1497 0.1022  3 Pt 2.00-2.06
O 0.4964 0.4115 0.3209  2 Pt 1.94
O 0.5036 0.5885 0.6791  2 Pt 1.94
O 0.6873 0.8503 0.8978  3 Pt 2.00-2.06
O 0.9125 0.3484 0.8992  3 Pt 2.00-2.02
Pt 0.4037 0.7674 0.2021  4 O 1.94-2.04, 2 F 2.04-2.07
Pt 0.8915 0.2875 0.2064  4 O 1.94-2.06, 2 F 2.04-2.05
Pt 0.1085 0.7125 0.7936  4 O 1.94-2.06, 2 F 2.04-2.05
Pt 0.5963 0.2326 0.7979  4 O 1.94-2.04, 2 F 2.04-2.07

Properties
The crystal system is triclinic. As for the space group: P-1. The density comes out at 10.186 g cm⁻³. As for the total moment: 0.0 μB per cell. As for the calculated total energy: -5.0172 eV/atom.


Computed, not measured: crystalline Pt2O2F at its relaxed geometry at the PBE level of DFT.

Unit cell a=7.8702 b=5.0481 c=8.9788 alpha=60.85 beta=34.07 gamma=85.09
With the nearest neighbours (Å) after each atom.
Fractional positions:
F 0.7951 0.7951 0.2049  2 Pt 2.08
F 0.0451 0.0451 0.4549  2 Pt 2.08
O 0.4874 0.5034 0.2204  2 Pt 1.91-1.94
O 0.4613 0.0296 0.7466  2 Pt 1.91-1.94
O 0.0296 0.4613 0.7626  2 Pt 1.91-1.94
O 0.5034 0.4874 0.7887  2 Pt 1.91-1.94
Pt 0.3240 0.8093 0.2840  2 O 1.91-1.94, 1 F 2.08
Pt 0.6673 0.9660 0.4407  2 O 1.91-1.94, 1 F 2.08
Pt 0.8093 0.3240 0.5827  2 O 1.91-1.94, 1 F 2.08
Pt 0.9660 0.6673 0.9260  2 O 1.91-1.94, 1 F 2.08

Properties
The crystal system is orthorhombic. As for the space group: Fdd2. The density comes out at 11.046 g cm⁻³. As for the total moment: 2.0 μB per cell. As for the calculated total energy: -5.0522 eV/atom.


Computed, not measured: crystalline PtOF2 at its relaxed geometry at the PBE level of DFT.

Unit cell a=3.4453 b=3.6953 c=4.7546 alpha=112.87 beta=111.24 gamma=90.00
With the nearest neighbours (Å) after each atom.
Fractional positions:
F 0.6519 0.1519 0.3038  2 Pt 2.11
F 0.3481 0.8481 0.6962  2 Pt 2.11
O 0.0000 0.5000 0.0000  2 Pt 1.85
Pt 0.0000 0.0000 0.0000  2 O 1.85

Properties
The crystal system is orthorhombic. As for the energy above the most stable polymorph in this dataset: 16.73 kJ per mole of atoms. As for the space group: Immm. The density comes out at 8.065 g cm⁻³. As for the total moment: 0.0 μB per cell. As for the calculated total energy: -4.3641 eV/atom.


Computed, not measured: crystalline Pt2OF2 at its relaxed geometry at the PBE level of DFT.

Unit cell a=4.7239 b=5.5858 c=5.8459 alpha=118.54 beta=113.83 gamma=90.00
With the nearest neighbours (Å) after each atom.
Fractional positions:
F 0.6067 0.7154 0.2135  1 Pt 1.95
F 0.1067 0.4980 0.2135  1 Pt 1.95
F 0.8933 0.5020 0.7865  1 Pt 1.95
F 0.3933 0.2846 0.7865  1 Pt 1.95
O 0.2500 0.0000 0.0000  4 Pt 2.12, 2 O 2.36
O 0.7500 0.0000 0.0000  4 Pt 2.12, 2 O 2.36
Pt 0.6797 0.2936 0.3594  1 F 1.95, 2 O 2.12
Pt 0.1797 0.0658 0.3594  1 F 1.95, 2 O 2.12
Pt 0.8203 0.9342 0.6406  1 F 1.95, 2 O 2.12
Pt 0.3203 0.7064 0.6406  1 F 1.95, 2 O 2.12

Properties
The crystal system is orthorhombic. As for the energy above the most stable polymorph in this dataset: 44.50 kJ per mole of atoms. As for the space group: Ibam. The density comes out at 12.259 g cm⁻³. As for the total moment: 0.0 μB per cell. As for the calculated total energy: -4.2451 eV/atom.